# Tb8Pm3Tl4, optimized geometry, DFT GGA-PBE
data_Tb8Pm3Tl4
_cell_length_a 9.1335
_cell_length_b 9.1335
_cell_length_c 6.6546
_cell_angle_alpha 110.66
_cell_angle_beta 110.66
_cell_angle_gamma 89.17
_space_group_name_H-M_alt 'P 1'
_space_group_IT_number 1
loop_
_space_group_symop_operation_xyz
'x,y,z'
loop_
_atom_site_label
_atom_site_fract_x
_atom_site_fract_y
_atom_site_fract_z
_atom_site_occupancy
Tb1 0.1408 0.8592 0.0000 1
Tb2 0.2270 0.2270 0.9734 1
Tb3 0.2369 0.7631 0.5000 1
Tb4 0.2390 0.2390 0.4891 1
Tb5 0.7610 0.7610 0.5109 1
Tb6 0.7631 0.2369 0.5000 1
Tb7 0.7730 0.7730 0.0266 1
Tb8 0.8592 0.1408 0.0000 1
Pm1 0.0000 0.5000 0.0000 1
Pm2 0.5000 0.0000 0.0000 1
Pm3 0.5000 0.5000 0.5000 1
Tl1 0.0000 0.0000 0.5000 1
Tl2 0.0000 0.5000 0.5000 1
Tl3 0.5000 0.0000 0.5000 1
Tl4 0.5000 0.5000 0.0000 1
# - total energy (eV per atom) = -3.9529
# - magnetic moment (μB/f.u.) = 0.00